[1]
# Sr2YAs

A relaxed structure of Sr2YAs (PBE, Alexandria).

Summary:
Its crystal system is orthorhombic. The value obtained for the uncorrected energy is -4.174 eV per atom. For the magnetic moment, the calculation gives 0.645 μB per formula unit.

Cell lengths 3.9310, 4.2476, 18.3591 Å; angles 90.00, 90.00, 90.00 degrees
Space group Immm (No. 71)
Symmetry-distinct sites (fractional):
Sr  0.0000  0.0000  0.1630 x4
Y  0.0000  0.5000  0.0000 x2
As  0.0000  0.5000  0.5000 x2

---

[2]
# Ce2AlRh

A relaxed structure of Ce2AlRh (PBE, Alexandria).

Summary:
Its crystal system is tetragonal. The value obtained for the uncorrected energy is -6.222 eV per atom. For the offset from the most stable computed form, the calculation gives 1 meV per atom. For the magnetic moment, the calculation gives 0.766 μB per formula unit.

Cell lengths 3.7395, 3.7395, 6.3726 Å; angles 90.00, 90.00, 90.00 degrees
Space group P4/mmm (No. 123)
Symmetry-distinct sites (fractional):
Ce  0.0000  0.0000  0.2221 x2
Al  0.5000  0.5000  0.5000 x1
Rh  0.5000  0.5000  0.0000 x1